Pa2CdReN6: relaxed, GGA-PBE.

```
Pa2CdReN6
1.0
-2.637 -3.596 -2.805
0.136 -3.356 4.174
-4.635 2.017 1.773
N Pa Cd Re
6 2 1 1
Direct
0.121 0.500 0.500
0.753 0.764 0.764
0.753 0.236 0.236
0.250 0.000 0.000
0.753 0.764 0.236
0.753 0.236 0.764
0.975 0.500 0.000
0.975 0.000 0.500
0.520 0.500 0.500
0.594 0.000 0.000
```

## Properties
- total magnetization (μB/atom) = 0.10
- E_form (uncorrected) (eV per atom) = -0.50
- theoretical density (g/cm3) = 9.28